A geometry-optimized RbCoRu2O8 structure, computed with GGA+U.

Geometry as CIF:
```
data_RbCoRu2O8
_space_group_name_H-M_alt 'C 1 2/m 1'
_space_group_IT_number 12
_space_group_name_Hall '-C 2y'
_cell_length_a 8.670
_cell_length_b 5.777
_cell_length_c 8.385
_cell_angle_alpha 90.00
_cell_angle_beta 97.47
_cell_angle_gamma 90.00
loop_
_atom_site_label
_atom_site_type_symbol
_atom_site_fract_x
_atom_site_fract_y
_atom_site_fract_z
Rb1 Rb 0.000 0.000 0.000
Co1 Co 0.000 0.000 0.500
Ru1 Ru 0.117 0.500 0.298
O1 O 0.006 0.244 0.319
O2 O 0.185 0.500 0.110
O3 O 0.229 0.000 0.538
```

Values from the calculation:
The spin magnetization comes out at 0.02 μB/f.u. As for the uncorrected energy: -6.32 eV per atom.